No. 1
Here is a relaxed CaZrNiPt crystal from Alexandria via LeMat-Bulk. Energies are from PBE-GGA.

a b c (Å): 6.7117 6.7117 6.7117
angles (deg): 90.00 90.00 90.00
Space group F-43m (No. 216)
Inequivalent atoms, fractional coordinates:
Ca 0.0000 0.0000 0.0000 [4 per cell]
Zr 0.0000 0.0000 0.5000 [4 per cell]
Ni 0.2500 0.2500 0.2500 [4 per cell]
Pt 0.2500 0.2500 0.7500 [4 per cell]

Properties
The calculation puts the electronic total energy at -6.0865 eV/atom. Its crystal system is cubic. The calculation puts the total magnetic moment at 0.0 μB/f.u. The value obtained for the calculated formation energy is -0.4935 eV/atom.

---

No. 2
Here is a relaxed Sr2PRh crystal from Alexandria via LeMat-Bulk. Energies are from PBE-GGA.

a b c (Å): 3.4775 3.4775 8.7891
angles (deg): 90.00 90.00 90.00
Space group P4mm (No. 99)
Inequivalent atoms, fractional coordinates:
Sr 0.0000 0.0000 0.0000 [1 per cell]
Sr 0.5000 0.5000 0.4103 [1 per cell]
P 0.0000 0.0000 0.6563 [1 per cell]
Rh 0.5000 0.5000 0.7380 [1 per cell]

Properties
The calculation puts the electronic total energy at -4.3336 eV/atom. Its crystal system is tetragonal. The calculation puts the total magnetic moment at 0.0 μB/f.u. The value obtained for the calculated formation energy is -0.3024 eV/atom.

---

No. 3
Here is a relaxed SiNi2Os crystal from Alexandria via LeMat-Bulk. Energies are from PBE-GGA.

a b c (Å): 3.4995 3.4995 17.2168
angles (deg): 90.00 90.00 90.00
Space group I-42d (No. 122)
Inequivalent atoms, fractional coordinates:
Si 0.0000 0.0000 0.0000 [4 per cell]
Ni 0.2409 0.2500 0.1250 [8 per cell]
Os 0.0000 0.0000 0.5000 [4 per cell]

Properties
The calculation puts the electronic total energy at -6.7596 eV/atom. Its crystal system is tetragonal. The calculation puts the total magnetic moment at 0.8 μB/f.u. The formation energy (no corrections) is 294 meV per atom.